Below is a relaxed structure of AuC, with properties calculated at the PBE level.

Cell: 3.510 3.510 5.636 Å, 90.00 90.00 120.00°
Fractional positions:
Au: 0.333 0.667 0.730
Au: 0.667 0.333 0.230
C: 0.667 0.333 0.852
C: 0.333 0.667 0.352

N(E_F) (states/eV per atom): 0.685
Theoretical density (g/cm³): 11.54
Calculated formation energy (eV per atom): 1.89
Magnetic moment (μB/f.u.): 0.00
Polymorph energy (0 for the lowest one) (meV per atom): 1602